Density functional theory data (GGA-PBE) for As2Se after structural relaxation.

Cell: 4.9290 4.9290 5.6587 Å, 90.00 90.00 120.00°
Space group P6_3/mmc (No. 194)
One atom of each set of equivalent atoms:
As 0.0000 0.0000 0.0000 x2
As 0.3333 0.6667 0.2500 x2
Se 0.3333 0.6667 0.7500 x2

Calculated values
E above lowest polymorph = 438.2 meV per atom

***

Density functional theory data (GGA-PBE) for CuIr2Os after structural relaxation.

Cell: 3.8086 3.8086 7.6897 Å, 90.00 90.00 90.00°
Space group I4/mmm (No. 139)
One atom of each set of equivalent atoms:
Cu 0.0000 0.0000 0.0000 x2
Ir 0.0000 0.5000 0.2500 x4
Os 0.0000 0.0000 0.5000 x2

Calculated values
E above lowest polymorph = 125.1 meV per atom
formation energy = 0.17 eV per atom

***

Density functional theory data (GGA-PBE) for Y2CrAs after structural relaxation.

Cell: 4.0843 4.0843 5.9524 Å, 90.00 90.00 90.00°
Space group P4mm (No. 99)
One atom of each set of equivalent atoms:
Y 0.0000 0.0000 0.0000 x1
Y 0.5000 0.5000 0.3666 x1
Cr 0.5000 0.5000 0.8602 x1
As 0.0000 0.0000 0.5027 x1

Calculated values
formation energy = -0.21 eV per atom

***

Density functional theory data (GGA-PBE) for NdHoTm2Sc2 after structural relaxation.

Cell: 6.2536 17.2960 3.3362 Å, 90.00 90.00 90.00°
Space group Pnnm (No. 58)
One atom of each set of equivalent atoms:
Nd 0.0000 0.0000 0.0000 x2
Ho 0.0000 0.5000 0.0000 x2
Tm 0.2192 0.1920 0.0000 x4
Sc 0.2164 0.3535 0.5000 x4

Calculated values
formation energy = 0.28 eV per atom

***

Density functional theory data (GGA-PBE) for GeOsI2O after structural relaxation.

Cell: 5.4967 5.4967 3.5726 Å, 90.00 90.00 90.00°
Space group P4/mmm (No. 123)
One atom of each set of equivalent atoms:
Ge 0.0000 0.0000 0.0000 x1
Os 0.5000 0.5000 0.5000 x1
I 0.0000 0.5000 0.0000 x2
O 0.0000 0.0000 0.5000 x1

Calculated values
E above lowest polymorph = 711.7 meV per atom

***

Density functional theory data (GGA-PBE) for YSi2Sb after structural relaxation.

Cell: 5.9898 6.0074 10.3194 Å, 90.00 90.00 90.00°
Space group Fmmm (No. 69)
One atom of each set of equivalent atoms:
Y 0.0000 0.0000 0.0000 x4
Si 0.0000 0.2500 0.2500 x8
Sb 0.0000 0.0000 0.5000 x4

Calculated values
electronic total energy = -5.409 eV per atom

***

Density functional theory data (GGA-PBE) for Mg2Si2AsRh5 after structural relaxation.

Cell: 9.4830 9.4830 3.3496 Å, 90.00 90.00 90.00°
Space group P4/mbm (No. 127)
One atom of each set of equivalent atoms:
Mg 0.1708 0.3292 0.0000 x4
Si 0.1288 0.6288 0.0000 x4
As 0.0000 0.0000 0.0000 x2
Rh 0.0000 0.5000 0.5000 x2
Rh 0.0750 0.7952 0.5000 x8

Calculated values
electronic total energy = -6.230 eV per atom

***

Density functional theory data (GGA-PBE) for MgVAg after structural relaxation.

Cell: 7.5165 2.9022 9.4898 Å, 90.00 90.00 90.00°
Space group Pnma (No. 62)
One atom of each set of equivalent atoms:
Mg 0.1673 0.2500 0.0926 x4
V 0.0634 0.2500 0.4148 x4
Ag 0.1317 0.2500 0.7971 x4

Calculated values
E above lowest polymorph = 127.6 meV per atom
formation energy = 0.17 eV per atom

***

Density functional theory data (GGA-PBE) for HfScRe3 after structural relaxation.

Cell: 4.5825 4.5825 4.5825 Å, 90.00 90.00 90.00°
Space group Pm-3m (No. 221)
One atom of each set of equivalent atoms:
Hf 0.0000 0.0000 0.0000 x1
Sc 0.5000 0.5000 0.5000 x1
Re 0.0000 0.5000 0.5000 x3

Calculated values
E above lowest polymorph = 0.0 meV per atom
formation energy = 1.82 eV per atom

***

Density functional theory data (GGA-PBE) for Tl2InAg after structural relaxation.

Cell: 3.4216 4.8442 6.4091 Å, 90.00 96.32 90.00°
Space group P2/m (No. 10)
One atom of each set of equivalent atoms:
Tl 0.1051 0.0000 0.2620 x2
In 0.5000 0.5000 0.0000 x1
Ag 0.5000 0.5000 0.5000 x1

Calculated values
E above lowest polymorph = 62.6 meV per atom
formation energy = 0.11 eV per atom

***

Density functional theory data (GGA-PBE) for Tm4Sb3H2 after structural relaxation.

Cell: 11.9784 9.6273 7.2863 Å, 90.00 100.97 90.00°
Space group C2/c (No. 15)
One atom of each set of equivalent atoms:
Tm 0.1073 0.1807 0.0069 x8
Tm 0.1675 0.4393 0.6160 x8
Sb 0.0000 0.3760 0.2500 x4
Sb 0.1498 0.1197 0.6243 x8
H 0.1979 0.3686 0.9340 x8

Calculated values
electronic total energy = -4.906 eV per atom

***

Density functional theory data (GGA-PBE) for NdTm3In after structural relaxation.

Cell: 7.9560 7.9560 5.9579 Å, 90.00 90.00 120.00°
Space group P6_3/mmc (No. 194)
One atom of each set of equivalent atoms:
Nd 0.3333 0.6667 0.2500 x2
Tm 0.1938 0.3877 0.7500 x6
In 0.0000 0.0000 0.0000 x2

Calculated values
E above lowest polymorph = 236.8 meV per atom
formation energy = 0.07 eV per atom

***

Density functional theory data (GGA-PBE) for Ce6As5P after structural relaxation.

Cell: 7.2709 12.5926 7.2691 Å, 90.00 109.48 90.00°
Space group C2/m (No. 12)
One atom of each set of equivalent atoms:
Ce 0.2457 0.0000 0.2525 x4
Ce 0.2464 0.1642 0.7469 x8
As 0.0000 0.1684 0.0000 x4
As 0.0000 0.3334 0.5000 x4
As 0.0000 0.5000 0.0000 x2
P 0.0000 0.0000 0.5000 x2

Calculated values
formation energy = -1.43 eV per atom

***

Density functional theory data (GGA-PBE) for Ac6SiTe3Rh2 after structural relaxation.

Cell: 7.7908 13.5008 8.3456 Å, 90.00 108.35 90.00°
Space group C2/m (No. 12)
One atom of each set of equivalent atoms:
Ac 0.2275 0.0000 0.2124 x4
Ac 0.2422 0.3281 0.2140 x8
Si 0.0000 0.5000 0.0000 x2
Te 0.0000 0.0000 0.5000 x2
Te 0.0000 0.3375 0.5000 x4
Rh 0.0000 0.1673 0.0000 x4

Calculated values
electronic total energy = -5.587 eV per atom

***

Density functional theory data (GGA-PBE) for TiCo2AgRu after structural relaxation.

Cell: 4.3313 4.3313 4.4820 Å, 90.00 90.00 90.00°
Space group P4/mmm (No. 123)
One atom of each set of equivalent atoms:
Ti 0.0000 0.0000 0.0000 x1
Co 0.0000 0.5000 0.0000 x2
Ag 0.5000 0.5000 0.5000 x1
Ru 0.0000 0.0000 0.5000 x1

Calculated values
formation energy = 1.06 eV per atom

***

Density functional theory data (GGA-PBE) for SmCr2C2 after structural relaxation.

Cell: 6.4869 8.6506 8.8399 Å, 90.00 90.00 90.00°
Space group Fddd (No. 70, origin choice 2)
One atom of each set of equivalent atoms:
Sm 0.1250 0.1250 0.1250 x8
Cr 0.1250 0.1250 0.4908 x16
C 0.1250 0.3236 0.6250 x16

Calculated values
formation energy = -0.16 eV per atom

***

Density functional theory data (GGA-PBE) for AcPN2Cl after structural relaxation.

Cell: 5.8394 4.0272 8.3449 Å, 90.00 103.67 90.00°
Space group P2_1/m (No. 11)
One atom of each set of equivalent atoms:
Ac 0.1411 0.2500 0.2508 x2
P 0.4247 0.2500 0.9054 x2
N 0.1517 0.2500 0.8894 x2
N 0.3972 0.7500 0.2060 x2
Cl 0.2422 0.7500 0.5395 x2

Calculated values
electronic total energy = -6.644 eV per atom

***

Density functional theory data (GGA-PBE) for GdTmMgMn after structural relaxation.

Cell: 7.3079 7.3079 7.3079 Å, 90.00 90.00 90.00°
Space group F-43m (No. 216)
One atom of each set of equivalent atoms:
Gd 0.0000 0.0000 0.0000 x4
Tm 0.0000 0.0000 0.5000 x4
Mg 0.2500 0.2500 0.7500 x4
Mn 0.2500 0.2500 0.2500 x4

Calculated values
formation energy = 0.11 eV per atom

***

Density functional theory data (GGA-PBE) for ThScNiAu after structural relaxation.

Cell: 7.0035 7.0035 7.0035 Å, 90.00 90.00 90.00°
Space group F-43m (No. 216)
One atom of each set of equivalent atoms:
Th 0.0000 0.0000 0.0000 x4
Sc 0.0000 0.0000 0.5000 x4
Ni 0.2500 0.2500 0.2500 x4
Au 0.2500 0.2500 0.7500 x4

Calculated values
formation energy = -0.44 eV per atom

***

Density functional theory data (GGA-PBE) for Co3RhS after structural relaxation.

Cell: 4.5604 4.5604 4.5604 Å, 90.00 90.00 90.00°
Space group Pm-3m (No. 221)
One atom of each set of equivalent atoms:
Co 0.0000 0.0000 0.5000 x3
Rh 0.0000 0.0000 0.0000 x1
S 0.5000 0.5000 0.5000 x1

Calculated values
E above lowest polymorph = 1065.8 meV per atom

***

Density functional theory data (GGA-PBE) for Nd6Er12Tl after structural relaxation.

Cell: 11.8989 11.8989 14.8946 Å, 90.00 90.00 120.00°
Space group R-3 (No. 148, hexagonal axes)
One atom of each set of equivalent atoms:
Nd 0.0116 0.5902 0.1818 x18
Er 0.0031 0.1742 0.6872 x18
Er 0.0448 0.1925 0.9162 x18
Tl 0.0000 0.0000 0.5000 x3

Calculated values
formation energy = 0.08 eV per atom

***

Density functional theory data (GGA-PBE) for Mg4Ir after structural relaxation.

Cell: 5.4983 8.0102 4.6694 Å, 90.00 90.00 90.00°
Space group Pbam (No. 55)
One atom of each set of equivalent atoms:
Mg 0.0832 0.1731 0.0000 x4
Mg 0.2277 0.4222 0.5000 x4
Ir 0.0000 0.5000 0.0000 x2

Calculated values
formation energy = -0.18 eV per atom

***

Density functional theory data (GGA-PBE) for KAuF3 after structural relaxation.

Cell: 5.5984 6.4139 6.4779 Å, 92.62 114.54 90.04°
Space group P-1 (No. 2)
One atom of each set of equivalent atoms:
K 0.1987 0.2424 0.4056 x2
Au 0.5000 0.0000 0.0000 x1
Au 0.5000 0.5000 0.0000 x1
F 0.1396 0.4443 0.7695 x2
F 0.3253 0.9162 0.6668 x2
F 0.3804 0.5571 0.2424 x2

Calculated values
electronic total energy = -3.729 eV per atom

***

Density functional theory data (GGA-PBE) for LiZr2Ta after structural relaxation.

Cell: 2.9479 2.9479 33.0428 Å, 90.00 90.00 120.00°
Space group R3m (No. 160, hexagonal axes)
One atom of each set of equivalent atoms:
Li 0.0000 0.0000 0.0000 x3
Zr 0.0000 0.0000 0.2479 x3
Zr 0.0000 0.0000 0.4946 x3
Ta 0.0000 0.0000 0.7453 x3

Calculated values
E above lowest polymorph = 129.6 meV per atom
formation energy = 0.27 eV per atom